Below is a geometry-optimized LaN structure, with properties calculated at the PBEsol level.

Space-group type   Fm-3m, No. 225
Formation energy without anion corrections   -1.42 eV per atom

a b c (Å): 3.711 3.711 3.711
angles (deg): 60.00 60.00 60.00
Element x y z (fractional)
La  0.000  0.000  0.000
N  0.500  0.500  0.500

Below is a geometry-optimized CaAgSe3 structure, with properties calculated at the PBEsol level.

Space-group type   Pm-3m, No. 221
Formation energy without anion corrections   0.27 eV per atom

a b c (Å): 5.308 5.308 5.308
angles (deg): 90.00 90.00 90.00
Element x y z (fractional)
Ag  0.500  0.500  0.500
Se  0.500  0.000  0.000
Ca  0.000  0.000  0.000
Se  0.000  0.000  0.500
Se  0.000  0.500  0.000

Below is a geometry-optimized MnAg2Br structure, with properties calculated at the PBEsol level.

Space-group type   P4/mmm, No. 123
Formation energy without anion corrections   0.40 eV per atom

a b c (Å): 3.877 3.877 4.920
angles (deg): 90.00 90.00 90.00
Site moments in Bohr magnetons follow the coordinates.
Element x y z (fractional)
Ag  0.500  0.000  0.000  -0.01
Br  0.500  0.500  0.500  0.08
Mn  0.000  0.000  0.500  4.04
Ag  0.000  0.500  0.000  -0.01

Below is a geometry-optimized Ca2ScNi2 structure, with properties calculated at the PBEsol level.

Calculated formation energy   0.2384 eV per atom
Space-group type   I4/mmm, No. 139

a b c (Å): 4.155 4.155 6.695
angles (deg): 108.08 108.08 90.00
Element x y z (fractional)
Ca  0.250  0.750  0.500
Ni  0.409  0.409  0.818
Sc  0.000  0.000  0.000
Ca  0.750  0.250  0.500
Ni  0.591  0.591  0.182

Below is a geometry-optimized GaBiAs3 structure, with properties calculated at the PBEsol level.

Calculated formation energy   1.0911 eV per atom
Space-group type   Pm-3m, No. 221

a b c (Å): 5.390 5.390 5.390
angles (deg): 90.00 90.00 90.00
Element x y z (fractional)
Ga  0.500  0.500  0.500
As  0.500  0.000  0.000
As  0.000  0.500  0.000
Bi  0.000  0.000  0.000
As  0.000  0.000  0.500

Below is a geometry-optimized Sc2SeBr structure, with properties calculated at the PBEsol level.

Relative energy among the computed polymorphs   165 meV/atom
Space-group type   Fm-3m, No. 225
Formation energy without anion corrections   -1.15 eV per atom

a b c (Å): 4.729 4.729 4.729
angles (deg): 60.00 60.00 60.00
Element x y z (fractional)
Sc  0.750  0.750  0.750
Sc  0.250  0.250  0.250
Se  0.000  0.000  0.000
Br  0.500  0.500  0.500

Below is a geometry-optimized CaScTe2Au structure, with properties calculated at the PBEsol level.

Space-group type   P4/mmm, No. 123
Formation energy without anion corrections   0.06 eV per atom

a b c (Å): 5.067 5.602 5.602
angles (deg): 90.00 90.00 90.00
Site moments in Bohr magnetons follow the coordinates.
Element x y z (fractional)
Te  0.000  0.500  0.000  -0.02
Sc  0.500  0.500  0.500  0.11
Te  0.000  0.000  0.500  -0.02
Ca  0.000  0.000  0.000  0.00
Au  0.500  0.000  0.000  -0.01

Below is a geometry-optimized NaV2Bi3O10 structure, with properties calculated at the PBEsol level.

Space-group type   P1, No. 1
Formation energy without anion corrections   -1.86 eV per atom

a b c (Å): 5.594 6.896 7.075
angles (deg): 69.55 85.68 68.42
Element x y z (fractional)
V  0.684  0.599  0.929
Bi  0.382  0.241  0.152
O  0.211  0.975  0.275
O  0.613  0.756  0.678
Na  0.905  0.965  0.521
O  0.494  0.251  0.462
O  0.723  0.931  0.245
O  0.742  0.322  0.969
Bi  0.025  0.960  0.022
O  0.938  0.621  0.022
O  0.428  0.661  0.082
V  0.251  0.323  0.619
Bi  0.566  0.656  0.410
O  0.216  0.587  0.595
O  0.325  0.151  0.873
O  0.980  0.311  0.541

Below is a geometry-optimized MgReMo structure, with properties calculated at the PBEsol level.

Calculated formation energy   0.3446 eV per atom
Relative energy among the computed polymorphs   89 meV/atom
Space-group type   P3m1, No. 156

a b c (Å): 2.848 2.848 6.859
angles (deg): 90.00 90.00 120.00
Element x y z (fractional)
Mo  0.333  0.667  0.645
Re  0.667  0.333  0.349
Mg  0.000  0.000  0.006

Below is a geometry-optimized Na2CrNiGe structure, with properties calculated at the PBEsol level.

Calculated formation energy   1.2090 eV per atom
Space-group type   P4/mmm, No. 123

a b c (Å): 4.276 5.272 5.272
angles (deg): 90.00 90.00 90.00
Site moments in Bohr magnetons follow the coordinates.
Element x y z (fractional)
Na  0.000  0.000  0.500  0.02
Na  0.000  0.500  0.000  0.02
Ge  0.500  0.500  0.500  -0.14
Ni  0.500  0.000  0.000  -0.01
Cr  0.000  0.000  0.000  3.43

Below is a geometry-optimized YMnCo structure, with properties calculated at the PBEsol level.

Calculated formation energy   0.0453 eV per atom
Relative energy among the computed polymorphs   87 meV/atom
Space-group type   P-6m2, No. 187

a b c (Å): 3.716 3.716 4.209
angles (deg): 90.00 90.00 120.00
Site moments in Bohr magnetons follow the coordinates.
Element x y z (fractional)
Mn  0.333  0.667  0.000  0.78
Co  0.000  0.000  0.000  0.03
Y  0.667  0.333  0.500  -0.08

Below is a geometry-optimized TaNbH2 structure, with properties calculated at the PBEsol level.

Electronic total energy   -7.725 eV per atom
Space-group type   I-42d, No. 122

a b c (Å): 4.858 4.851 4.858
angles (deg): 59.95 90.00 120.05
Element x y z (fractional)
Ta  0.750  0.500  0.750
Ta  0.000  0.000  0.000
H  0.875  0.250  0.628
H  0.628  0.750  0.375
Nb  0.500  0.000  0.500
H  0.375  0.250  0.122
H  0.122  0.750  0.875
Nb  0.250  0.500  0.250

Below is a geometry-optimized RbCo2Se2 structure, with properties calculated at the PBEsol level.

Relative energy among the computed polymorphs   0 meV/atom
Space-group type   I4/mmm, No. 139
Formation energy without anion corrections   -0.50 eV per atom

a b c (Å): 3.820 3.820 7.314
angles (deg): 105.14 105.14 90.00
Site moments in Bohr magnetons follow the coordinates.
Element x y z (fractional)
Rb  0.000  0.000  0.000  0.04
Se  0.346  0.346  0.692  0.04
Se  0.654  0.654  0.308  0.01
Co  0.250  0.750  0.500  0.80
Co  0.750  0.250  0.500  0.80

Below is a geometry-optimized Na2TlP3H7N3O8 structure, with properties calculated at the PBEsol level.

Electronic total energy   -6.080 eV per atom
Space-group type   P-1, No. 2

a b c (Å): 7.919 7.958 8.592
angles (deg): 77.86 82.66 75.80
Element x y z (fractional)
O  0.942  0.286  0.201
H  0.461  0.283  0.899
O  0.909  0.132  0.871
O  0.357  0.189  0.195
H  0.000  0.696  0.615
H  0.503  0.562  0.755
O  0.251  0.393  0.825
O  0.643  0.811  0.805
Tl  0.358  0.271  0.555
Na  0.849  0.852  0.001
P  0.448  0.825  0.849
O  0.294  0.625  0.317
Na  0.072  0.000  0.663
O  0.706  0.375  0.683
N  0.578  0.221  0.950
H  0.081  0.647  0.446
H  0.754  0.573  0.881
O  0.233  0.953  0.421
H  0.539  0.717  0.101
O  0.973  0.705  0.503
O  0.058  0.714  0.799
N  0.422  0.779  0.050
P  0.782  0.422  0.141
H  0.268  0.834  0.392
O  0.091  0.868  0.129
H  0.284  0.035  0.333
O  0.767  0.047  0.579
H  0.732  0.166  0.608
H  0.716  0.965  0.667
H  0.246  0.427  0.119
P  0.245  0.713  0.148
N  0.790  0.443  0.941
O  0.681  0.006  0.209
O  0.319  0.994  0.791
Tl  0.642  0.729  0.445
P  0.552  0.175  0.151
N  0.604  0.341  0.216
Na  0.151  0.148  0.999
P  0.755  0.287  0.852
O  0.027  0.295  0.497
O  0.749  0.607  0.175
P  0.218  0.578  0.859
H  0.919  0.353  0.554
Na  0.928  0.000  0.337
H  0.000  0.304  0.385
N  0.396  0.659  0.784
N  0.210  0.557  0.059
H  0.497  0.438  0.245

Below is a geometry-optimized Li3BS3 structure, with properties calculated at the PBEsol level.

Space-group type   Pnma, No. 62
Formation energy without anion corrections   -1.04 eV per atom

a b c (Å): 6.101 8.084 9.962
angles (deg): 90.00 90.00 90.00
Element x y z (fractional)
Li  0.402  0.328  0.008
S  0.238  0.575  0.592
Li  0.598  0.672  0.992
S  0.658  0.701  0.750
Li  0.052  0.508  0.250
B  0.620  0.384  0.250
S  0.262  0.075  0.592
Li  0.902  0.172  0.992
S  0.158  0.799  0.250
Li  0.098  0.828  0.008
S  0.342  0.299  0.250
S  0.762  0.425  0.092
Li  0.448  0.008  0.250
S  0.262  0.075  0.908
S  0.238  0.575  0.908
S  0.842  0.201  0.750
Li  0.948  0.492  0.750
Li  0.098  0.828  0.492
Li  0.902  0.172  0.508
B  0.120  0.116  0.750
Li  0.402  0.328  0.492
B  0.380  0.616  0.750
Li  0.552  0.992  0.750
S  0.738  0.925  0.408
B  0.880  0.884  0.250
Li  0.598  0.672  0.508
S  0.762  0.425  0.408
S  0.738  0.925  0.092

Below is a geometry-optimized RuRh5 structure, with properties calculated at the PBEsol level.

Calculated formation energy   0.0290 eV per atom
Relative energy among the computed polymorphs   22 meV/atom
Space-group type   Amm2, No. 38

a b c (Å): 2.684 4.309 7.110
angles (deg): 90.00 100.88 90.00
Element x y z (fractional)
Rh  0.000  0.000  0.000
Rh  0.776  0.500  0.551
Ru  0.111  0.500  0.222
Rh  0.666  0.000  0.333
Rh  0.447  0.500  0.893
Rh  0.334  0.000  0.668

Below is a geometry-optimized SmInCu4 structure, with properties calculated at the PBEsol level.

Calculated formation energy   -0.2673 eV per atom
Space-group type   F-43m, No. 216

a b c (Å): 5.075 5.075 5.075
angles (deg): 60.00 60.00 60.00
Element x y z (fractional)
In  0.000  0.000  0.000
Cu  0.374  0.877  0.374
Cu  0.374  0.374  0.374
Cu  0.877  0.374  0.374
Sm  0.750  0.750  0.750
Cu  0.374  0.374  0.877

Below is a geometry-optimized ScRe2IrO structure, with properties calculated at the PBEsol level.

Space-group type   P4/mmm, No. 123
Formation energy without anion corrections   0.10 eV per atom

a b c (Å): 4.019 4.019 4.352
angles (deg): 90.00 90.00 90.00
Element x y z (fractional)
O  0.000  0.000  0.000
Sc  0.500  0.500  0.500
Re  0.000  0.500  0.000
Ir  0.000  0.000  0.500
Re  0.500  0.000  0.000

Below is a geometry-optimized ZnSnOs2Pb structure, with properties calculated at the PBEsol level.

Calculated formation energy   1.8252 eV per atom
Space-group type   P4/mmm, No. 123

a b c (Å): 4.745 4.905 4.905
angles (deg): 90.00 90.00 90.00
Site moments in Bohr magnetons follow the coordinates.
Element x y z (fractional)
Zn  0.500  0.000  0.000  0.00
Os  0.000  0.000  0.500  0.46
Sn  0.000  0.000  0.000  -0.01
Pb  0.500  0.500  0.500  0.00
Os  0.000  0.500  0.000  0.46

Below is a geometry-optimized NbCu2RePb structure, with properties calculated at the PBEsol level.

Calculated formation energy   1.5672 eV per atom
Space-group type   P4/mmm, No. 123

a b c (Å): 4.679 4.809 4.809
angles (deg): 90.00 90.00 90.00
Site moments in Bohr magnetons follow the coordinates.
Element x y z (fractional)
Cu  0.000  0.000  0.500  0.00
Pb  0.500  0.500  0.500  0.00
Cu  0.000  0.500  0.000  0.00
Re  0.500  0.000  0.000  0.68
Nb  0.000  0.000  0.000  -0.12

Calculated magnetization in order - 0.0, 0.1, 4.4, 0.0, 0.0, 0.0, 0.1, 0.0, 0.0, 3.6, 0.7, 0.0, 1.8, 0.0, 0.0, 0.0, 0.0, 0.0, 1.0, 0.7 μB/cell